## A
Entry from the Alexandria database: a relaxed structure of Sr2ZrAu (PBE).

abc: 6.936 6.936 6.936
angles: 148.63 131.55 58.86
Sites, in units of the cell vectors:
Sr 0.000 0.000 0.000
Sr 0.702 0.202 0.500
Zr 0.303 0.803 0.500
Au 0.471 0.471 0.000

Output
M_tot, μB per formula unit: 0.0

## B
Entry from the Alexandria database: a relaxed structure of Sr2ZrAu (PBE).

abc: 5.822 5.822 3.654
angles: 90.00 90.00 102.45
Sites, in units of the cell vectors:
Sr 0.000 0.500 0.000
Sr 0.500 0.000 0.000
Zr 0.000 0.000 0.500
Au 0.500 0.500 0.500

Output
M_tot, μB per formula unit: 1.1

## C
Entry from the Alexandria database: a relaxed structure of Sr2ZrAu (PBE).

abc: 3.693 3.693 9.739
angles: 90.00 90.00 90.00
Sites, in units of the cell vectors:
Sr 0.000 0.000 0.000
Sr 0.500 0.500 0.370
Zr 0.000 0.000 0.640
Au 0.500 0.500 0.765

Output
M_tot, μB per formula unit: 0.8

## D
Entry from the Alexandria database: a relaxed structure of Sr2ZrAu (PBE).

abc: 5.622 5.622 5.622
angles: 60.00 60.00 60.00
Sites, in units of the cell vectors:
Sr 0.250 0.250 0.250
Sr 0.750 0.750 0.750
Zr 0.000 0.000 0.000
Au 0.500 0.500 0.500

Output
M_tot, μB per formula unit: 3.8

C (7.9 kJ/mol of atoms below the next structure)

## A
Entry from the Alexandria database: a relaxed structure of Ta5Au (PBE).

abc: 5.430 5.430 5.430
angles: 60.00 60.00 60.00
Sites, in units of the cell vectors:
Ta 0.000 0.000 0.000
Ta 0.373 0.373 0.373
Ta 0.373 0.373 0.881
Ta 0.373 0.881 0.373
Ta 0.881 0.373 0.373
Au 0.750 0.750 0.750

Output
M_tot, μB per formula unit: 0.0

## B
Entry from the Alexandria database: a relaxed structure of Ta5Au (PBE).

abc: 7.015 7.015 4.686
angles: 90.00 90.00 151.94
Sites, in units of the cell vectors:
Ta 0.000 0.000 0.000
Ta 0.168 0.832 0.500
Ta 0.334 0.666 0.000
Ta 0.666 0.334 0.000
Ta 0.832 0.168 0.500
Au 0.500 0.500 0.500

Output
M_tot, μB per formula unit: 0.0

B (31.1 kJ/mol of atoms below the next structure)

## A
Entry from the Alexandria database: a relaxed structure of Ta5Au (PBE).

abc: 2.817 2.817 13.821
angles: 90.00 90.00 90.00
Sites, in units of the cell vectors:
Ta 0.000 0.000 0.000
Ta 0.000 0.000 0.339
Ta 0.000 0.000 0.661
Ta 0.500 0.500 0.172
Ta 0.500 0.500 0.828
Au 0.500 0.500 0.500

Output
M_tot, μB per formula unit: 0.0

## B
Entry from the Alexandria database: a relaxed structure of Ta5Au (PBE).

abc: 7.177 7.177 3.433
angles: 90.00 90.00 142.30
Sites, in units of the cell vectors:
Ta 0.000 0.000 0.000
Ta 0.164 0.836 0.500
Ta 0.330 0.670 0.000
Ta 0.670 0.330 0.000
Ta 0.836 0.164 0.500
Au 0.500 0.500 0.500

Output
M_tot, μB per formula unit: 0.0

B (6.7 kJ/mol of atoms below the next structure)

## A
Entry from the Alexandria database: a relaxed structure of Ta5Au (PBE).

abc: 5.091 5.091 4.921
angles: 90.00 90.00 120.00
Sites, in units of the cell vectors:
Ta 0.000 0.662 0.000
Ta 0.333 0.667 0.500
Ta 0.338 0.338 0.000
Ta 0.662 0.000 0.000
Ta 0.667 0.333 0.500
Au 0.000 0.000 0.500

Output
M_tot, μB per formula unit: 0.0

## B
Entry from the Alexandria database: a relaxed structure of Ta5Au (PBE).

abc: 5.580 5.580 4.520
angles: 90.00 90.00 120.00
Sites, in units of the cell vectors:
Ta 0.000 0.500 0.000
Ta 0.333 0.667 0.500
Ta 0.500 0.000 0.000
Ta 0.500 0.500 0.000
Ta 0.667 0.333 0.500
Au 0.000 0.000 0.500

Output
M_tot, μB per formula unit: 0.0

## C
Entry from the Alexandria database: a relaxed structure of Ta5Au (PBE).

abc: 4.980 8.095 8.095
angles: 19.70 90.00 90.00
Sites, in units of the cell vectors:
Ta 0.000 0.000 0.000
Ta 0.000 0.332 0.332
Ta 0.000 0.664 0.664
Ta 0.500 0.236 0.236
Ta 0.500 0.903 0.903
Au 0.500 0.567 0.567

Output
M_tot, μB per formula unit: 0.0

## D
Entry from the Alexandria database: a relaxed structure of Ta5Au (PBE).

abc: 5.794 5.794 7.206
angles: 103.09 103.09 27.82
Sites, in units of the cell vectors:
Ta 0.000 0.000 0.000
Ta 0.069 0.069 0.637
Ta 0.335 0.335 0.659
Ta 0.404 0.404 0.305
Ta 0.740 0.740 0.969
Au 0.671 0.671 0.337

Output
M_tot, μB per formula unit: 0.0

D (2.8 kJ/mol of atoms below the next structure)

## A
Entry from the Alexandria database: a relaxed structure of Ta3Au4 (PBE).

abc: 5.396 5.396 5.177
angles: 90.00 90.00 120.00
Sites, in units of the cell vectors:
Ta 0.000 0.500 0.000
Ta 0.500 0.000 0.000
Ta 0.500 0.500 0.000
Au 0.000 0.000 0.252
Au 0.000 0.000 0.748
Au 0.333 0.667 0.500
Au 0.667 0.333 0.500

Output
M_tot, μB per formula unit: 0.0

## B
Entry from the Alexandria database: a relaxed structure of Ta3Au4 (PBE).

abc: 10.731 10.731 10.731
angles: 161.45 161.45 26.36
Sites, in units of the cell vectors:
Ta 0.000 0.000 0.000
Ta 0.285 0.285 0.000
Ta 0.715 0.715 0.000
Au 0.141 0.141 0.000
Au 0.429 0.429 0.000
Au 0.571 0.571 0.000
Au 0.859 0.859 0.000

Output
M_tot, μB per formula unit: 0.0

B (18.6 kJ/mol of atoms below the next structure)